TbTmSc2As4: relaxed, PBE.

Calculated values
Space group: P2/m
Density of states at the Fermi level, states/eV/f.u.: 1.01
DFT formation energy, kJ/mol of atoms: -138.8
Total energy, eV/atom: -6.4840

Cell: 3.9976 6.9052 6.9187 Å, 70.48 90.00 90.00°
Positions (direct):
Tb (0.5000, 0.5000, 0.0000)
Tm (0.0000, 0.5000, 0.5000)
Sc (0.0000, 0.0000, 0.0000)
Sc (0.5000, 0.0000, 0.5000)
As (0.0000, 0.7646, 0.7428)
As (0.0000, 0.2354, 0.2572)
As (0.5000, 0.7630, 0.2480)
As (0.5000, 0.2370, 0.7520)



Nd6Er8Sc: relaxed, PBE.

Calculated values
Space group: R-3
Density of states at the Fermi level, states/eV/f.u.: 22.25
DFT formation energy, kJ/mol of atoms: 11.1
Total energy, eV/atom: -4.6473

Cell: 9.0386 9.0386 8.6535 Å, 58.52 58.52 60.00°
Positions (direct):
Nd (0.4587, 0.8984, 0.8691)
Nd (0.1016, 0.2261, 0.1309)
Nd (0.2261, 0.5413, 0.1309)
Nd (0.7739, 0.4587, 0.8691)
Nd (0.8984, 0.7739, 0.8691)
Nd (0.5413, 0.1016, 0.1309)
Er (0.7169, 0.1115, 0.4192)
Er (0.8885, 0.2476, 0.5808)
Er (0.2476, 0.2831, 0.5808)
Er (0.5769, 0.5769, 0.2692)
Er (0.4231, 0.4231, 0.7308)
Er (0.7524, 0.7169, 0.4192)
Er (0.1115, 0.7524, 0.4192)
Er (0.2831, 0.8885, 0.5808)
Sc (0.0000, 0.0000, 0.0000)



NaTlGa2Ni: relaxed, PBE.

Calculated values
Space group: P4/mmm
Density of states at the Fermi level, states/eV/f.u.: 1.67
Relative energy among the computed polymorphs, kJ/mol of atoms: 1.5
DFT formation energy, kJ/mol of atoms: -4.4
Total energy, eV/atom: -3.1492

Cell: 4.5989 4.5989 5.3872 Å, 90.00 90.00 90.00°
Positions (direct):
Ni (0.0000, 0.0000, 0.0000)
Tl (0.5000, 0.5000, 0.5000)
Ga (0.0000, 0.5000, 0.0000)
Ga (0.5000, 0.0000, 0.0000)
Na (0.0000, 0.0000, 0.5000)



AcTi4Ni3S12: relaxed, PBE.

Calculated values
Space group: Im-3
Density of states at the Fermi level, states/eV/f.u.: 15.31
Formation energy (no corrections), meV/atom: -1048
Total energy, eV/atom: -6.1758

Cell: 7.7662 7.7662 7.7662 Å, 109.47 109.47 109.47°
Last column: magnetic moment on the atom in μB.
Positions (direct):
Ac (0.0000, 0.0000, 0.0000)  0.00
Ti (0.5000, 0.0000, 0.0000)  0.04
Ti (0.5000, 0.5000, 0.5000)  0.04
Ti (0.0000, 0.5000, 0.0000)  0.04
Ti (0.0000, 0.0000, 0.5000)  0.04
Ni (0.0000, 0.5000, 0.5000)  0.13
Ni (0.5000, 0.5000, 0.0000)  0.13
Ni (0.5000, 0.0000, 0.5000)  0.13
S (0.3163, 0.8333, 0.1497)  0.00
S (0.6837, 0.1667, 0.8503)  0.00
S (0.6837, 0.8333, 0.5170)  0.00
S (0.8503, 0.6837, 0.1667)  0.00
S (0.8333, 0.1497, 0.3163)  0.00
S (0.1667, 0.4830, 0.3163)  0.00
S (0.4830, 0.3163, 0.1667)  0.00
S (0.1667, 0.8503, 0.6837)  0.00
S (0.3163, 0.1667, 0.4830)  0.00
S (0.1497, 0.3163, 0.8333)  0.00
S (0.8333, 0.5170, 0.6837)  0.00
S (0.5170, 0.6837, 0.8333)  0.00



Ac2NdAu5: relaxed, PBE.

Calculated values
Space group: I4/mmm
Density of states at the Fermi level, states/eV/f.u.: 6.29
DFT formation energy, kJ/mol of atoms: -65.7
Total energy, eV/atom: -4.3523

Cell: 5.3730 5.3730 8.2001 Å, 109.12 109.12 90.00°
Positions (direct):
Ac (0.7232, 0.7232, 0.4463)
Ac (0.2768, 0.2768, 0.5537)
Nd (0.0000, 0.0000, 0.0000)
Au (0.5000, 0.5000, 0.0000)
Au (0.8887, 0.3887, 0.7773)
Au (0.3887, 0.8887, 0.7773)
Au (0.1113, 0.6113, 0.2227)
Au (0.6113, 0.1113, 0.2227)



NiRu2Pt: relaxed, PBE.

Calculated values
Space group: Fm-3m
Density of states at the Fermi level, states/eV/f.u.: 7.19
Relative energy among the computed polymorphs, kJ/mol of atoms: 35.3
DFT formation energy, kJ/mol of atoms: 35.5
Total energy, eV/atom: -7.2255

Cell: 4.2945 4.2945 4.2945 Å, 60.00 60.00 60.00°
Positions (direct):
Ru (0.2500, 0.2500, 0.2500)
Ru (0.7500, 0.7500, 0.7500)
Pt (0.5000, 0.5000, 0.5000)
Ni (0.0000, 0.0000, 0.0000)



In12Ag5Bi3: relaxed, PBE.

Calculated values
Space group: Ia-3d
Density of states at the Fermi level, states/eV/f.u.: 11.90
DFT formation energy, kJ/mol of atoms: 14.5
Total energy, eV/atom: -2.7875

Cell: 14.9221 14.9221 14.9221 Å, 109.47 109.47 109.47°
Positions (direct):
Bi (0.7500, 0.3750, 0.1250)
Bi (0.8750, 0.7500, 0.1250)
Bi (0.3750, 0.7500, 0.6250)
Bi (0.2500, 0.1250, 0.3750)
Bi (0.8750, 0.1250, 0.2500)
Bi (0.3750, 0.6250, 0.2500)
Bi (0.6250, 0.3750, 0.7500)
Bi (0.1250, 0.8750, 0.7500)
Bi (0.7500, 0.8750, 0.6250)
Bi (0.6250, 0.2500, 0.3750)
Bi (0.1250, 0.2500, 0.8750)
Bi (0.2500, 0.6250, 0.8750)
Ag (0.1250, 0.3750, 0.2500)
Ag (0.0000, 0.5000, 0.0000)
Ag (0.0000, 0.0000, 0.0000)
Ag (0.3750, 0.2500, 0.1250)
Ag (0.5000, 0.0000, 0.5000)
Ag (0.5000, 0.5000, 0.0000)
Ag (0.1250, 0.7500, 0.3750)
Ag (0.7500, 0.1250, 0.8750)
Ag (0.7500, 0.6250, 0.3750)
Ag (0.3750, 0.1250, 0.7500)
Ag (0.6250, 0.8750, 0.2500)
Ag (0.5000, 0.5000, 0.5000)
Ag (0.5000, 0.0000, 0.0000)
Ag (0.0000, 0.0000, 0.5000)
Ag (0.2500, 0.3750, 0.6250)
Ag (0.2500, 0.8750, 0.1250)
Ag (0.0000, 0.5000, 0.5000)
Ag (0.8750, 0.2500, 0.6250)
Ag (0.6250, 0.7500, 0.8750)
Ag (0.8750, 0.6250, 0.7500)
In (0.7146, 0.1249, 0.0448)
In (0.3302, 0.5448, 0.4199)
In (0.9552, 0.3751, 0.2854)
In (0.5448, 0.2146, 0.1249)
In (0.5897, 0.7146, 0.6698)
In (0.9552, 0.5801, 0.1698)
In (0.3302, 0.7854, 0.4103)
In (0.0801, 0.9103, 0.1249)
In (0.5801, 0.9552, 0.6698)
In (0.7146, 0.5897, 0.1698)
In (0.7854, 0.4552, 0.3751)
In (0.8302, 0.9199, 0.0448)
In (0.1249, 0.7146, 0.5448)
In (0.3751, 0.4199, 0.0897)
In (0.0897, 0.9199, 0.3751)
In (0.4103, 0.1249, 0.5801)
In (0.0897, 0.1698, 0.2146)
In (0.4552, 0.6698, 0.0801)
In (0.8302, 0.9103, 0.2854)
In (0.1249, 0.4103, 0.0801)
In (0.3751, 0.9552, 0.7854)
In (0.5801, 0.6249, 0.4103)
In (0.9199, 0.8302, 0.5448)
In (0.7854, 0.3302, 0.9103)
In (0.4199, 0.3751, 0.5897)
In (0.0801, 0.1698, 0.4552)
In (0.2146, 0.6698, 0.0897)
In (0.1698, 0.0897, 0.7146)
In (0.6249, 0.0448, 0.2146)
In (0.8751, 0.5897, 0.9199)
In (0.5448, 0.3302, 0.9199)
In (0.5897, 0.8751, 0.4199)
In (0.9103, 0.8302, 0.7854)
In (0.9103, 0.0801, 0.6249)
In (0.8751, 0.2854, 0.4552)
In (0.1698, 0.0801, 0.9552)
In (0.6249, 0.5801, 0.9103)
In (0.4199, 0.0448, 0.3302)
In (0.2854, 0.4103, 0.8302)
In (0.2146, 0.5448, 0.6249)
In (0.9199, 0.0897, 0.8751)
In (0.6698, 0.2146, 0.5897)
In (0.4552, 0.7854, 0.8751)
In (0.0448, 0.4199, 0.8302)
In (0.4103, 0.2854, 0.3302)
In (0.0448, 0.6249, 0.7146)
In (0.6698, 0.4552, 0.5801)
In (0.2854, 0.8751, 0.9552)



TbCr2CN: relaxed, PBE.

Calculated values
Space group: Cmcm
Density of states at the Fermi level, states/eV/f.u.: 2.66
Formation energy (no corrections), meV/atom: -569
Total energy, eV/atom: -8.8543

Cell: 3.2781 5.3865 6.7899 Å, 90.00 90.00 107.72°
Positions (direct):
Tb (0.4579, 0.9159, 0.7500)
Tb (0.5421, 0.0841, 0.2500)
Cr (0.1796, 0.3591, 0.9338)
Cr (0.8204, 0.6409, 0.0662)
Cr (0.1796, 0.3591, 0.5662)
Cr (0.8204, 0.6409, 0.4338)
C (0.7364, 0.4727, 0.7500)
C (0.2636, 0.5273, 0.2500)
N (0.0000, 0.0000, 0.0000)
N (0.0000, 0.0000, 0.5000)